Record 1
VASP calculation (PBE-GGA) on a relaxed Er12Th5Mg crystal.

Values from the calculation:
Theoretical density, g/cm³: 9.53
Calculated total energy, eV per cell: -92.80

Unit cell a=10.585 b=10.585 c=4.966 alpha=90.00 beta=90.00 gamma=90.21
Atoms (fractional coordinates):
Er  0.004  0.333  0.500
Er  0.162  0.838  0.000
Er  0.172  0.500  0.000
Er  0.333  0.004  0.500
Er  0.333  0.667  0.500
Er  0.500  0.172  0.000
Er  0.500  0.828  0.000
Er  0.667  0.333  0.500
Er  0.667  0.996  0.500
Er  0.828  0.500  0.000
Er  0.838  0.162  0.000
Er  0.996  0.667  0.500
Th  0.000  0.000  0.500
Th  0.169  0.169  0.000
Th  0.332  0.332  0.500
Th  0.668  0.668  0.500
Th  0.831  0.831  0.000
Mg  0.500  0.500  0.000



Record 2
VASP calculation (PBE-GGA) on a relaxed LaBiPb crystal.

Values from the calculation:
Theoretical density, g/cm³: 8.29
Energy above the lowest structure with this stoichiometry, eV/atom: 0.133
Calculated total energy, eV per cell: -55.94

Unit cell a=4.541 b=4.541 c=21.573 alpha=90.00 beta=90.00 gamma=90.00
Atoms (fractional coordinates):
La  0.000  0.000  0.120
La  0.000  0.000  0.880
La  0.500  0.500  0.380
La  0.500  0.500  0.620
Bi  0.000  0.000  0.420
Bi  0.000  0.000  0.580
Bi  0.500  0.500  0.080
Bi  0.500  0.500  0.920
Pb  0.000  0.000  0.273
Pb  0.000  0.000  0.727
Pb  0.500  0.500  0.227
Pb  0.500  0.500  0.773



Record 3
VASP calculation (PBE-GGA) on a relaxed LiSnB crystal.

Values from the calculation:
Theoretical density, g/cm³: 4.72
Energy above the lowest structure with this stoichiometry, eV/atom: 0.531
Calculated total energy, eV per cell: -22.54

Unit cell a=4.040 b=4.040 c=5.886 alpha=90.00 beta=90.00 gamma=90.00
Atoms (fractional coordinates):
Li  0.250  0.250  0.244
Li  0.750  0.750  0.756
Sn  0.250  0.250  0.751
Sn  0.750  0.750  0.249
B  0.250  0.750  0.500
B  0.750  0.250  0.500



Record 4
VASP calculation (PBE-GGA) on a relaxed Pr6Zn5Ru crystal.

Values from the calculation:
Theoretical density, g/cm³: 7.03
Calculated total energy, eV per cell: -47.67

Unit cell a=9.012 b=9.012 c=5.222 alpha=106.81 beta=106.81 gamma=48.40
Atoms (fractional coordinates):
Pr  0.083  0.598  0.341
Pr  0.239  0.761  0.000
Pr  0.402  0.917  0.659
Pr  0.598  0.083  0.341
Pr  0.761  0.239  0.000
Pr  0.917  0.402  0.659
Zn  0.178  0.178  0.176
Zn  0.331  0.331  0.833
Zn  0.500  0.500  0.500
Zn  0.669  0.669  0.167
Zn  0.822  0.822  0.824
Ru  0.000  0.000  0.500



Record 5
VASP calculation (PBE-GGA) on a relaxed Rb3Mg2SnCl9 crystal.

Values from the calculation:
Theoretical density, g/cm³: 2.85
Formation energy (no corrections), kcal/mol of atoms: -39.9
Calculated total energy, eV per cell: -52.64

Unit cell a=7.384 b=7.384 c=9.154 alpha=90.00 beta=90.00 gamma=120.00
Atoms (fractional coordinates):
Rb  0.000  0.000  0.000
Rb  0.333  0.667  0.675
Rb  0.667  0.333  0.325
Mg  0.333  0.667  0.154
Mg  0.667  0.333  0.846
Sn  0.000  0.000  0.500
Cl  0.000  0.500  0.000
Cl  0.175  0.350  0.317
Cl  0.175  0.825  0.317
Cl  0.350  0.175  0.683
Cl  0.500  0.000  0.000
Cl  0.500  0.500  0.000
Cl  0.650  0.825  0.317
Cl  0.825  0.175  0.683
Cl  0.825  0.650  0.683



Record 6
VASP calculation (PBE-GGA) on a relaxed Tb2Ho5Th crystal.

Values from the calculation:
Theoretical density, g/cm³: 8.56
Energy above the lowest structure with this stoichiometry, eV/atom: 0.244
Calculated total energy, eV per cell: -74.83

Unit cell a=7.079 b=9.967 c=7.761 alpha=90.00 beta=103.13 gamma=90.00
Atoms (fractional coordinates):
Tb  0.086  0.093  0.365
Tb  0.086  0.407  0.365
Tb  0.914  0.593  0.635
Tb  0.914  0.907  0.635
Ho  0.249  0.029  0.001
Ho  0.249  0.471  0.001
Ho  0.404  0.592  0.635
Ho  0.404  0.908  0.635
Ho  0.434  0.250  0.724
Ho  0.566  0.750  0.276
Ho  0.596  0.092  0.365
Ho  0.596  0.408  0.365
Ho  0.751  0.529  0.999
Ho  0.751  0.971  0.999
Th  0.070  0.750  0.283
Th  0.930  0.250  0.717



Record 7
VASP calculation (PBE-GGA) on a relaxed Tb12Pm3Sm5 crystal.

Values from the calculation:
Theoretical density, g/cm³: 6.16
Calculated total energy, eV per cell: -290.78

Unit cell a=16.306 b=16.306 c=16.306 alpha=109.47 beta=109.47 gamma=109.47
Atoms (fractional coordinates):
Tb  0.064  0.640  0.412
Tb  0.064  0.925  0.652
Tb  0.075  0.228  0.140
Tb  0.075  0.348  0.936
Tb  0.088  0.728  0.652
Tb  0.088  0.860  0.436
Tb  0.140  0.075  0.228
Tb  0.140  0.564  0.912
Tb  0.152  0.228  0.588
Tb  0.152  0.425  0.564
Tb  0.228  0.140  0.075
Tb  0.228  0.588  0.152
Tb  0.272  0.348  0.912
Tb  0.272  0.425  0.360
Tb  0.348  0.912  0.272
Tb  0.348  0.936  0.075
Tb  0.360  0.272  0.425
Tb  0.360  0.588  0.936
Tb  0.412  0.064  0.640
Tb  0.412  0.848  0.772
Tb  0.425  0.360  0.272
Tb  0.425  0.564  0.152
Tb  0.436  0.088  0.860
Tb  0.436  0.848  0.575
Tb  0.564  0.152  0.425
Tb  0.564  0.912  0.140
Tb  0.575  0.436  0.848
Tb  0.575  0.640  0.728
Tb  0.588  0.152  0.228
Tb  0.588  0.936  0.360
Tb  0.640  0.412  0.064
Tb  0.640  0.728  0.575
Tb  0.652  0.064  0.925
Tb  0.652  0.088  0.728
Tb  0.728  0.575  0.640
Tb  0.728  0.652  0.088
Tb  0.772  0.412  0.848
Tb  0.772  0.860  0.925
Tb  0.848  0.575  0.436
Tb  0.848  0.772  0.412
Tb  0.860  0.436  0.088
Tb  0.860  0.925  0.772
Tb  0.912  0.140  0.564
Tb  0.912  0.272  0.348
Tb  0.925  0.652  0.064
Tb  0.925  0.772  0.860
Tb  0.936  0.075  0.348
Tb  0.936  0.360  0.588
Pm  0.125  0.250  0.375
Pm  0.125  0.375  0.750
Pm  0.250  0.375  0.125
Pm  0.250  0.875  0.625
Pm  0.375  0.125  0.250
Pm  0.375  0.750  0.125
Pm  0.625  0.250  0.875
Pm  0.625  0.875  0.750
Pm  0.750  0.125  0.375
Pm  0.750  0.625  0.875
Pm  0.875  0.625  0.250
Pm  0.875  0.750  0.625
Sm  0.000  0.000  0.000
Sm  0.000  0.000  0.500
Sm  0.000  0.500  0.000
Sm  0.000  0.500  0.500
Sm  0.125  0.750  0.875
Sm  0.125  0.875  0.250
Sm  0.250  0.125  0.875
Sm  0.250  0.625  0.375
Sm  0.375  0.250  0.625
Sm  0.375  0.625  0.750
Sm  0.500  0.000  0.000
Sm  0.500  0.000  0.500
Sm  0.500  0.500  0.000
Sm  0.500  0.500  0.500
Sm  0.625  0.375  0.250
Sm  0.625  0.750  0.375
Sm  0.750  0.375  0.625
Sm  0.750  0.875  0.125
Sm  0.875  0.125  0.750
Sm  0.875  0.250  0.125



Record 8
VASP calculation (PBE-GGA) on a relaxed LaTcCl2 crystal.

Values from the calculation:
Theoretical density, g/cm³: 4.32
Formation energy (no corrections), kcal/mol of atoms: -16.8
Energy above the lowest structure with this stoichiometry, eV/atom: 0.029
Calculated total energy, eV per cell: -43.82

Unit cell a=13.521 b=3.682 c=4.752 alpha=90.00 beta=90.55 gamma=90.00
Atoms (fractional coordinates):
La  0.000  0.000  0.000
La  0.500  0.500  0.000
Tc  0.000  0.500  0.500
Tc  0.500  0.000  0.500
Cl  0.150  0.500  0.234
Cl  0.350  0.000  0.766
Cl  0.650  0.000  0.234
Cl  0.850  0.500  0.766



Record 9
VASP calculation (PBE-GGA) on a relaxed PrEr2Sn2 crystal.

Values from the calculation:
Theoretical density, g/cm³: 7.85
Calculated total energy, eV per cell: -48.17

Unit cell a=5.651 b=4.072 c=13.200 alpha=90.00 beta=96.84 gamma=90.00
Atoms (fractional coordinates):
Pr  0.197  0.250  0.248
Pr  0.803  0.750  0.752
Er  0.246  0.750  0.472
Er  0.330  0.250  0.891
Er  0.670  0.750  0.109
Er  0.754  0.250  0.528
Sn  0.166  0.750  0.047
Sn  0.285  0.250  0.660
Sn  0.715  0.750  0.340
Sn  0.834  0.250  0.953



Record 10
VASP calculation (PBE-GGA) on a relaxed KAg4F8 crystal.

Values from the calculation:
Theoretical density, g/cm³: 4.06
Formation energy (no corrections), kcal/mol of atoms: -30.4
Energy above the lowest structure with this stoichiometry, eV/atom: 0.000
Calculated total energy, eV per cell: -44.61

Unit cell a=7.046 b=7.046 c=7.046 alpha=61.29 beta=61.29 gamma=61.29
Atoms (fractional coordinates):
K  0.000  0.000  0.000
Ag  0.000  0.000  0.500
Ag  0.000  0.500  0.000
Ag  0.500  0.000  0.000
Ag  0.500  0.500  0.500
F  0.217  0.732  0.732
F  0.221  0.221  0.221
F  0.268  0.268  0.783
F  0.268  0.783  0.268
F  0.732  0.217  0.732
F  0.732  0.732  0.217
F  0.779  0.779  0.779
F  0.783  0.268  0.268



Record 11
VASP calculation (PBE-GGA) on a relaxed CaY3Pa2N6 crystal.

Values from the calculation:
Theoretical density, g/cm³: 7.84
Formation energy (no corrections), kcal/mol of atoms: -36.9
Calculated total energy, eV per cell: -109.55

Unit cell a=7.771 b=7.771 c=6.997 alpha=103.12 beta=103.12 gamma=26.07
Atoms (fractional coordinates):
Ca  0.000  0.000  0.000
Y  0.000  0.000  0.500
Y  0.335  0.335  0.166
Y  0.665  0.665  0.834
Pa  0.336  0.336  0.671
Pa  0.664  0.664  0.329
N  0.167  0.167  0.578
N  0.169  0.169  0.097
N  0.489  0.489  0.736
N  0.511  0.511  0.264
N  0.831  0.831  0.903
N  0.833  0.833  0.422



Record 12
VASP calculation (PBE-GGA) on a relaxed NaHfAs2Se crystal.

Values from the calculation:
Theoretical density, g/cm³: 6.17
Formation energy (no corrections), kcal/mol of atoms: 19.2
Energy above the lowest structure with this stoichiometry, eV/atom: 1.184
Calculated total energy, eV per cell: -19.90

Unit cell a=4.811 b=4.811 c=5.002 alpha=90.00 beta=90.00 gamma=90.00
Atoms (fractional coordinates):
Na  0.000  0.000  0.000
Hf  0.500  0.500  0.500
As  0.000  0.500  0.000
As  0.500  0.000  0.000
Se  0.000  0.000  0.500